No. 1
This record from Alexandria via LeMat-Bulk describes a PBEsol-optimized structure of CdSb2Te. The functional is meta-GGA SCAN.

Properties
* uncorrected formation energy: 85 kJ/mol of formula units
* energy: -141.302 eV per formula unit
* space-group type: No. 65
* DOS at the Fermi energy: 2.4 states/eV per cell

Unit cell a=3.1770 b=3.1770 c=10.4651 alpha=90.00 beta=90.00 gamma=104.26
Last column: nearest neighbours and their distance in Å.
Atoms (fractional coordinates):
Cd: 0.0000 0.0000 0.0000  4 Sb 3.08, 4 Cd 3.18
Sb: 0.5000 0.5000 0.2283  2 Cd 3.08, 4 Sb 3.18, 2 Te 3.45
Sb: 0.5000 0.5000 0.7717  2 Cd 3.08, 4 Sb 3.18, 2 Te 3.45
Te: 0.0000 0.0000 0.5000  4 Te 3.18, 4 Sb 3.45

---

No. 2
This record from Alexandria via LeMat-Bulk describes a PBEsol-optimized structure of ZrCdSb2Te. The functional is meta-GGA SCAN.

Properties
* uncorrected formation energy: 87 kJ/mol of formula units
* energy: -171.985 eV per formula unit
* space-group type: No. 123
* DOS at the Fermi energy: 4.5 states/eV per cell

Unit cell a=5.5111 b=5.5111 c=5.4362 alpha=90.00 beta=90.00 gamma=90.00
Last column: nearest neighbours and their distance in Å.
Atoms (fractional coordinates):
Zr: 0.0000 0.0000 0.0000  2 Te 2.72, 4 Sb 2.76
Cd: 0.5000 0.5000 0.5000  8 Sb 3.87, 4 Te 3.90
Sb: 0.0000 0.5000 0.0000  2 Zr 2.76
Sb: 0.5000 0.0000 0.0000  2 Zr 2.76
Te: 0.0000 0.0000 0.5000  2 Zr 2.72

---

No. 3
This record from Alexandria via LeMat-Bulk describes a PBEsol-optimized structure of TiCd3Sb. The functional is meta-GGA SCAN.

Properties
* uncorrected formation energy: 430 kJ/mol of formula units
* energy: -140.080 eV per formula unit
* space-group type: No. 221
* DOS at the Fermi energy: 4.7 states/eV per cell

Unit cell a=5.4106 b=5.4106 c=5.4106 alpha=90.00 beta=90.00 gamma=90.00
Last column: nearest neighbours and their distance in Å.
Atoms (fractional coordinates):
Ti: 0.0000 0.0000 0.0000  12 Cd 3.83
Cd: 0.0000 0.5000 0.5000  2 Sb 2.71
Cd: 0.5000 0.0000 0.5000  2 Sb 2.71
Cd: 0.5000 0.5000 0.0000  2 Sb 2.71
Sb: 0.5000 0.5000 0.5000  6 Cd 2.71

---

No. 4
This record from Alexandria via LeMat-Bulk describes a PBEsol-optimized structure of TlCdSb. The functional is meta-GGA SCAN.

Properties
* uncorrected formation energy: -26 kJ/mol of formula units
* energy above the lowest structure with this stoichiometry: 0 meV per atom
* energy: -140.300 eV per formula unit
* space-group type: No. 62
* DOS at the Fermi energy: 0.5 states/eV per cell

Unit cell a=8.0585 b=4.9094 c=8.3912 alpha=90.00 beta=90.00 gamma=90.00
Last column: nearest neighbours and their distance in Å.
Atoms (fractional coordinates):
Tl: 0.0010 0.2500 0.1831  5 Sb 3.29-3.52, 4 Cd 3.38-3.64
Tl: 0.4990 0.7500 0.6831  5 Sb 3.29-3.52, 4 Cd 3.38-3.64
Tl: 0.5010 0.2500 0.3169  5 Sb 3.29-3.52, 4 Cd 3.38-3.64
Tl: 0.9990 0.7500 0.8169  5 Sb 3.29-3.52, 4 Cd 3.38-3.64
Cd: 0.1612 0.2500 0.5881  4 Sb 2.88-2.98
Cd: 0.3388 0.7500 0.0881  4 Sb 2.88-2.98
Cd: 0.6612 0.2500 0.9119  4 Sb 2.88-2.98
Cd: 0.8388 0.7500 0.4119  4 Sb 2.88-2.98
Sb: 0.2090 0.7500 0.4079  4 Cd 2.88-2.98
Sb: 0.2910 0.2500 0.9079  4 Cd 2.88-2.98
Sb: 0.7090 0.7500 0.0921  4 Cd 2.88-2.98
Sb: 0.7910 0.2500 0.5921  4 Cd 2.88-2.98

---

No. 5
This record from Alexandria via LeMat-Bulk describes a PBEsol-optimized structure of TlCdSb2. The functional is meta-GGA SCAN.

Properties
* uncorrected formation energy: 69 kJ/mol of formula units
* energy above the lowest structure with this stoichiometry: 74 meV per atom
* energy: -176.582 eV per formula unit
* space-group type: No. 10
* DOS at the Fermi energy: 2.0 states/eV per cell

Unit cell a=5.5538 b=3.3279 c=5.8729 alpha=90.00 beta=105.67 gamma=90.00
Last column: nearest neighbours and their distance in Å.
Atoms (fractional coordinates):
Tl: 0.0000 0.0000 0.0000  4 Cd 3.24, 2 Tl 3.33, 6 Sb 3.38-3.45
Cd: 0.5000 0.5000 0.0000  4 Tl 3.24, 2 Cd 3.33, 6 Sb 3.38-3.45
Sb: 0.0000 0.5000 0.5000  6 Sb 3.24-3.33, 4 Tl 3.38, 2 Cd 3.45
Sb: 0.5000 0.0000 0.5000  6 Sb 3.24-3.33, 4 Cd 3.38, 2 Tl 3.45

---

No. 6
This record from Alexandria via LeMat-Bulk describes a PBEsol-optimized structure of TlCd2Sb. The functional is meta-GGA SCAN.

Properties
* uncorrected formation energy: 39 kJ/mol of formula units
* energy above the lowest structure with this stoichiometry: 7 meV per atom
* energy: -170.041 eV per formula unit
* space-group type: No. 44
* DOS at the Fermi energy: 1.7 states/eV per cell

Unit cell a=6.5326 b=6.5326 c=6.5326 alpha=151.73 beta=130.31 gamma=58.15
Last column: nearest neighbours and their distance in Å.
Atoms (fractional coordinates):
Tl: 0.0000 0.0000 0.0000  6 Cd 3.17-3.50, 2 Tl 3.19, 2 Sb 3.49
Cd: 0.2727 0.7727 0.5000  4 Cd 3.00-3.19, 4 Sb 3.22
Cd: 0.4950 0.4950 0.0000  4 Cd 3.00-3.19, 2 Sb 3.10, 4 Tl 3.17
Sb: 0.7279 0.2279 0.5000  6 Cd 3.10-3.22, 2 Sb 3.19

---

No. 7
This record from Alexandria via LeMat-Bulk describes a PBEsol-optimized structure of Tl2Cd2Sb. The functional is meta-GGA SCAN.

Properties
* uncorrected formation energy: 17 kJ/mol of formula units
* energy: -242.635 eV per formula unit
* space-group type: No. 127
* DOS at the Fermi energy: 3.3 states/eV per cell

Unit cell a=7.5204 b=7.5204 c=4.7554 alpha=90.00 beta=90.00 gamma=90.00
Last column: nearest neighbours and their distance in Å.
Atoms (fractional coordinates):
Tl: 0.1745 0.3255 0.0000  6 Cd 3.15-3.33
Tl: 0.3255 0.8255 0.0000  6 Cd 3.15-3.33
Tl: 0.6745 0.1745 0.0000  6 Cd 3.15-3.33
Tl: 0.8255 0.6745 0.0000  6 Cd 3.15-3.33
Cd: 0.1319 0.6319 0.5000  1 Cd 2.81, 2 Sb 2.94
Cd: 0.3681 0.1319 0.5000  1 Cd 2.81, 2 Sb 2.94
Cd: 0.6319 0.8681 0.5000  1 Cd 2.81, 2 Sb 2.94
Cd: 0.8681 0.3681 0.5000  1 Cd 2.81, 2 Sb 2.94
Sb: 0.0000 0.0000 0.5000  4 Cd 2.94
Sb: 0.5000 0.5000 0.5000  4 Cd 2.94

---

No. 8
This record from Alexandria via LeMat-Bulk describes a PBEsol-optimized structure of TlCdSb2. The functional is meta-GGA SCAN.

Properties
* uncorrected formation energy: 40 kJ/mol of formula units
* energy above the lowest structure with this stoichiometry: 0 meV per atom
* energy: -176.878 eV per formula unit
* space-group type: No. 47
* DOS at the Fermi energy: 1.6 states/eV per cell

Unit cell a=3.4364 b=4.3754 c=7.1103 alpha=90.00 beta=90.00 gamma=90.00
Last column: nearest neighbours and their distance in Å.
Atoms (fractional coordinates):
Tl: 0.0000 0.0000 0.0000  2 Tl 3.44, 8 Sb 3.46, 2 Cd 3.56
Cd: 0.0000 0.0000 0.5000  8 Sb 3.16, 2 Cd 3.44
Sb: 0.5000 0.5000 0.2886  1 Sb 3.01, 4 Cd 3.16
Sb: 0.5000 0.5000 0.7114  1 Sb 3.01, 4 Cd 3.16